Entry from Alexandria: a relaxed structure of LaDy2Tm (PBE).

Structure (extended XYZ):
```
4
Lattice="5.047 0.000 0.000 0.000 5.047 0.000 0.000 0.000 5.112" Properties=species:S:1:pos:R:3 pbc="T T T"
La 0.000 0.000 0.000
Dy 0.000 2.524 2.556
Dy 2.524 0.000 2.556
Tm 2.524 2.524 0.000
```

## Properties
Formation enthalpy at 0 K in eV per atom: 0.034
Density of states at the Fermi level in states/eV per cell: 6.7

Entry from Alexandria: a relaxed structure of Re2BrF2 (PBE).

Structure (extended XYZ):
```
10
Lattice="9.640 0.000 0.000 0.000 9.640 0.000 0.000 0.000 2.578" Properties=species:S:1:pos:R:3 pbc="T T T"
Re 0.823 3.997 0.000
Re 3.997 8.817 0.000
Re 5.643 0.823 0.000
Re 8.817 5.643 0.000
Br 0.000 0.000 1.289
Br 4.820 4.820 1.289
F 1.984 2.836 1.289
F 2.836 7.656 1.289
F 6.804 1.984 1.289
F 7.656 6.804 1.289
```

## Properties
Raw formation energy in meV per atom: 66
Density of states at the Fermi level in states/eV per cell: 6.8

Entry from Alexandria: a relaxed structure of Sb2Mo (PBE).

Structure (extended XYZ):
```
12
Lattice="5.643 0.000 0.000 -2.822 4.887 0.000 0.000 0.000 11.322" Properties=species:S:1:pos:R:3 pbc="T T T"
Sb 0.000 0.000 0.000
Sb 0.000 0.000 5.661
Sb 0.000 1.629 2.830
Sb -1.411 4.073 2.830
Sb 1.410 0.814 8.491
Sb 1.411 4.073 2.830
Sb 4.233 0.814 8.491
Sb 2.822 3.259 8.491
Mo 0.000 3.258 0.532
Mo 0.000 3.258 5.128
Mo 2.822 1.629 6.193
Mo 2.822 1.629 10.789
```

## Properties
Raw formation energy in meV per atom: 1063
Density of states at the Fermi level in states/eV per cell: 12.3

Entry from Alexandria: a relaxed structure of BaMnHg2 (PBE).

Structure (extended XYZ):
```
4
Lattice="0.000 3.825 3.825 3.825 0.000 3.825 3.825 3.825 0.000" Properties=species:S:1:pos:R:3 pbc="T T T"
Ba 0.000 0.000 0.000
Mn 5.737 5.737 5.737
Hg 1.912 1.912 1.912
Hg 3.825 3.825 3.825
```

## Properties
Formation enthalpy at 0 K in eV per atom: 0.166
Density of states at the Fermi level in states/eV per cell: 3.7

no.,density (g/cm3)
1,8.069
2,6.798
3,7.221
4,8.805